A geometry-optimized LiCeCuCl6 structure. Source: Alexandria via LeMat-Bulk, functional PBE.

## Properties
Its symmetry is P-31c (163). Its calculated density is 3.232 g/cm3. For the magnetization, the calculation gives 0.7 Bohr magnetons per cell. As for the formation energy without anion corrections: -1.547 eV/atom.

Cell: 6.4447 6.4447 12.0929 Å, 90.00 90.00 120.00°
Closest atoms and distances in Å follow each position.
Element x y z (fractional)
Li 0.0000 0.0000 0.0000  6 Cl 2.66
Li 0.0000 0.0000 0.5000  6 Cl 2.66
Ce 0.6667 0.3333 0.2500  6 Cl 2.67
Ce 0.3333 0.6667 0.7500  6 Cl 2.67
Cu 0.3333 0.6667 0.2500  6 Cl 2.54
Cu 0.6667 0.3333 0.7500  6 Cl 2.54
Cl 0.6549 0.6711 0.1270  1 Cu 2.54, 1 Li 2.66, 1 Ce 2.67
Cl 0.0162 0.3451 0.1270  1 Cu 2.54, 1 Li 2.66, 1 Ce 2.67
Cl 0.3451 0.0162 0.6270  1 Cu 2.54, 1 Li 2.66, 1 Ce 2.67
Cl 0.9838 0.6549 0.8730  1 Cu 2.54, 1 Li 2.66, 1 Ce 2.67
Cl 0.3289 0.3451 0.3730  1 Cu 2.54, 1 Li 2.66, 1 Ce 2.67
Cl 0.0162 0.6711 0.3730  1 Cu 2.54, 1 Li 2.66, 1 Ce 2.67
Cl 0.6711 0.0162 0.8730  1 Cu 2.54, 1 Li 2.66, 1 Ce 2.67
Cl 0.6549 0.9838 0.3730  1 Cu 2.54, 1 Li 2.66, 1 Ce 2.67
Cl 0.9838 0.3289 0.6270  1 Cu 2.54, 1 Li 2.66, 1 Ce 2.67
Cl 0.3289 0.9838 0.1270  1 Cu 2.54, 1 Li 2.66, 1 Ce 2.67
Cl 0.6711 0.6549 0.6270  1 Cu 2.54, 1 Li 2.66, 1 Ce 2.67
Cl 0.3451 0.3289 0.8730  1 Cu 2.54, 1 Li 2.66, 1 Ce 2.67

***

A geometry-optimized SrPmHg4 structure. Source: Alexandria via LeMat-Bulk, functional PBE.

## Properties
Its symmetry is P2/m (10). Its calculated density is 10.627 g/cm3. For the magnetization, the calculation gives 0.0 Bohr magnetons per cell.

Cell: 3.6026 5.1042 9.4849 Å, 90.00 111.99 90.00°
Closest atoms and distances in Å follow each position.
Element x y z (fractional)
Sr 0.5013 0.4973 0.9981  12 Hg 3.45-3.47, 2 Sr 3.60
Pm 0.0012 0.9973 0.4981  12 Hg 3.40-3.45, 2 Pm 3.60
Hg 0.1695 0.9973 0.1681  3 Hg 2.94-2.99
Hg 0.8333 0.9972 0.8282  3 Hg 2.94-2.99
Hg 0.6658 0.4972 0.6622  3 Hg 2.89-2.94
Hg 0.3367 0.4973 0.3340  3 Hg 2.89-2.94

***

A geometry-optimized LiY2Tc structure. Source: Alexandria via LeMat-Bulk, functional PBE.

## Properties
Its symmetry is Imm2 (44). Its calculated density is 5.298 g/cm3. For the magnetization, the calculation gives 0.0 Bohr magnetons per cell.

Cell: 5.8996 5.8996 5.8996 Å, 144.62 131.12 61.78°
Closest atoms and distances in Å follow each position.
Element x y z (fractional)
Li 0.4612 0.4612 0.0000  2 Tc 2.69
Tc 0.2626 0.7626 0.5000  2 Li 2.69, 2 Y 2.93
Y 0.0334 0.0334 0.0000  2 Tc 2.93, 4 Li 3.12, 2 Y 3.23
Y 0.7429 0.2429 0.5000  4 Tc 3.04, 2 Y 3.23, 4 Li 3.29-3.37

***

Number 1: total energy -4.1057 eV per atom. Number 2: total energy -1.7147 eV per atom. Number 3: total energy -6.1151 eV per atom.